A | # TbCd2Au6, optimized geometry, DFT PBE
# Space-group type ... C2/c (15)
# Total magnetization ... 0.000 μB/atom
data_TbCd2Au6
_cell_length_a 8.607
_cell_length_b 8.607
_cell_length_c 5.152
_cell_angle_alpha 98.72
_cell_angle_beta 98.72
_cell_angle_gamma 75.17
_space_group_name_H-M_alt 'P 1'
_space_group_IT_number 1
_space_group_name_Hall 'P 1'
loop_
_atom_site_label
_atom_site_type_symbol
_atom_site_fract_x
_atom_site_fract_y
_atom_site_fract_z
_atom_site_occupancy
Tb1 Tb 0.137 0.863 0.750 1
Tb2 Tb 0.863 0.137 0.250 1
Cd1 Cd 0.202 0.465 0.914 1
Cd2 Cd 0.465 0.202 0.414 1
Cd3 Cd 0.535 0.798 0.586 1
Cd4 Cd 0.798 0.535 0.086 1
Au1 Au 0.000 0.226 0.805 1
Au2 Au 0.000 0.774 0.195 1
Au3 Au 0.101 0.356 0.363 1
Au4 Au 0.226 0.000 0.305 1
Au5 Au 0.327 0.563 0.465 1
Au6 Au 0.356 0.101 0.863 1
Au7 Au 0.437 0.673 0.035 1
Au8 Au 0.563 0.327 0.965 1
Au9 Au 0.644 0.899 0.137 1
Au10 Au 0.673 0.437 0.535 1
Au11 Au 0.774 0.000 0.695 1
Au12 Au 0.899 0.644 0.637 1

B | # TbCd2Au6, optimized geometry, DFT PBE
# Space-group type ... Immm (71)
# Total magnetization ... 0.000 μB/atom
data_TbCd2Au6
_cell_length_a 8.281
_cell_length_b 8.281
_cell_length_c 8.281
_cell_angle_alpha 155.97
_cell_angle_beta 124.41
_cell_angle_gamma 61.42
_space_group_name_H-M_alt 'P 1'
_space_group_IT_number 1
_space_group_name_Hall 'P 1'
loop_
_atom_site_label
_atom_site_type_symbol
_atom_site_fract_x
_atom_site_fract_y
_atom_site_fract_z
_atom_site_occupancy
Tb1 Tb 0.000 0.000 0.000 1
Cd1 Cd 0.355 0.855 0.500 1
Cd2 Cd 0.645 0.145 0.500 1
Au1 Au 0.003 0.324 0.679 1
Au2 Au 0.319 0.500 0.819 1
Au3 Au 0.356 0.676 0.679 1
Au4 Au 0.644 0.324 0.321 1
Au5 Au 0.681 0.500 0.181 1
Au6 Au 0.997 0.676 0.321 1

Stability summary: most stable A, least stable B.

A | # TbYCdAu, optimized geometry, DFT PBE
# Space-group type ... F-43m (216)
# Total magnetization ... 0.000 μB/atom
data_TbYCdAu
_cell_length_a 5.201
_cell_length_b 5.201
_cell_length_c 5.201
_cell_angle_alpha 60.00
_cell_angle_beta 60.00
_cell_angle_gamma 60.00
_space_group_name_H-M_alt 'P 1'
_space_group_IT_number 1
_space_group_name_Hall 'P 1'
loop_
_atom_site_label
_atom_site_type_symbol
_atom_site_fract_x
_atom_site_fract_y
_atom_site_fract_z
_atom_site_occupancy
Tb1 Tb 0.000 0.000 0.000 1
Y1 Y 0.500 0.500 0.500 1
Cd1 Cd 0.750 0.750 0.750 1
Au1 Au 0.250 0.250 0.250 1

B | # TbYCdAu, optimized geometry, DFT PBE
# Space-group type ... P4mm (99)
# Total magnetization ... 0.000 μB/atom
data_TbYCdAu
_cell_length_a 3.689
_cell_length_b 3.689
_cell_length_c 7.318
_cell_angle_alpha 90.00
_cell_angle_beta 90.00
_cell_angle_gamma 90.00
_space_group_name_H-M_alt 'P 1'
_space_group_IT_number 1
_space_group_name_Hall 'P 1'
loop_
_atom_site_label
_atom_site_type_symbol
_atom_site_fract_x
_atom_site_fract_y
_atom_site_fract_z
_atom_site_occupancy
Tb1 Tb 0.000 0.000 0.000 1
Y1 Y 0.000 0.000 0.474 1
Cd1 Cd 0.500 0.500 0.736 1
Au1 Au 0.500 0.500 0.235 1

Stability summary: most stable B, least stable A.

A | # Cd2TeAu2, optimized geometry, DFT PBE
# Space-group type ... P4/mbm (127)
# Total magnetization ... 0.000 μB/atom
data_Cd2TeAu2
_cell_length_a 7.573
_cell_length_b 7.573
_cell_length_c 3.938
_cell_angle_alpha 90.00
_cell_angle_beta 90.00
_cell_angle_gamma 90.00
_space_group_name_H-M_alt 'P 1'
_space_group_IT_number 1
_space_group_name_Hall 'P 1'
loop_
_atom_site_label
_atom_site_type_symbol
_atom_site_fract_x
_atom_site_fract_y
_atom_site_fract_z
_atom_site_occupancy
Cd1 Cd 0.161 0.339 0.000 1
Cd2 Cd 0.339 0.839 0.000 1
Cd3 Cd 0.661 0.161 0.000 1
Cd4 Cd 0.839 0.661 0.000 1
Te1 Te 0.000 0.000 0.500 1
Te2 Te 0.500 0.500 0.500 1
Au1 Au 0.135 0.635 0.500 1
Au2 Au 0.365 0.135 0.500 1
Au3 Au 0.635 0.865 0.500 1
Au4 Au 0.865 0.365 0.500 1

B | # Cd2TeAu2, optimized geometry, DFT PBE
# Space-group type ... P4/mbm (127)
# Total magnetization ... 0.000 μB/atom
data_Cd2TeAu2
_cell_length_a 8.464
_cell_length_b 8.464
_cell_length_c 3.128
_cell_angle_alpha 90.00
_cell_angle_beta 90.00
_cell_angle_gamma 90.00
_space_group_name_H-M_alt 'P 1'
_space_group_IT_number 1
_space_group_name_Hall 'P 1'
loop_
_atom_site_label
_atom_site_type_symbol
_atom_site_fract_x
_atom_site_fract_y
_atom_site_fract_z
_atom_site_occupancy
Cd1 Cd 0.178 0.322 0.000 1
Cd2 Cd 0.322 0.822 0.000 1
Cd3 Cd 0.678 0.178 0.000 1
Cd4 Cd 0.822 0.678 0.000 1
Te1 Te 0.000 0.000 0.000 1
Te2 Te 0.500 0.500 0.000 1
Au1 Au 0.119 0.619 0.500 1
Au2 Au 0.381 0.119 0.500 1
Au3 Au 0.619 0.881 0.500 1
Au4 Au 0.881 0.381 0.500 1

C | # Cd2TeAu2, optimized geometry, DFT PBE
# Space-group type ... I4/mmm (139)
# Total magnetization ... 0.000 μB/atom
data_Cd2TeAu2
_cell_length_a 7.847
_cell_length_b 7.847
_cell_length_c 7.847
_cell_angle_alpha 150.54
_cell_angle_beta 150.54
_cell_angle_gamma 42.14
_space_group_name_H-M_alt 'P 1'
_space_group_IT_number 1
_space_group_name_Hall 'P 1'
loop_
_atom_site_label
_atom_site_type_symbol
_atom_site_fract_x
_atom_site_fract_y
_atom_site_fract_z
_atom_site_occupancy
Cd1 Cd 0.103 0.103 0.000 1
Cd2 Cd 0.897 0.897 0.000 1
Te1 Te 0.500 0.500 0.000 1
Au1 Au 0.250 0.750 0.500 1
Au2 Au 0.750 0.250 0.500 1

Stability summary: most stable C, least stable B.

A | # CdTeAu3, optimized geometry, DFT PBE
# Space-group type ... Pm-3m (221)
# Total magnetization ... 0.000 μB/atom
data_CdTeAu3
_cell_length_a 5.148
_cell_length_b 5.148
_cell_length_c 5.148
_cell_angle_alpha 90.00
_cell_angle_beta 90.00
_cell_angle_gamma 90.00
_space_group_name_H-M_alt 'P 1'
_space_group_IT_number 1
_space_group_name_Hall 'P 1'
loop_
_atom_site_label
_atom_site_type_symbol
_atom_site_fract_x
_atom_site_fract_y
_atom_site_fract_z
_atom_site_occupancy
Cd1 Cd 0.000 0.000 0.000 1
Te1 Te 0.500 0.500 0.500 1
Au1 Au 0.000 0.000 0.500 1
Au2 Au 0.000 0.500 0.000 1
Au3 Au 0.500 0.000 0.000 1

B | # CdTeAu3, optimized geometry, DFT PBE
# Space-group type ... Pm-3m (221)
# Total magnetization ... 0.000 μB/atom
data_CdTeAu3
_cell_length_a 5.339
_cell_length_b 5.339
_cell_length_c 5.339
_cell_angle_alpha 90.00
_cell_angle_beta 90.00
_cell_angle_gamma 90.00
_space_group_name_H-M_alt 'P 1'
_space_group_IT_number 1
_space_group_name_Hall 'P 1'
loop_
_atom_site_label
_atom_site_type_symbol
_atom_site_fract_x
_atom_site_fract_y
_atom_site_fract_z
_atom_site_occupancy
Cd1 Cd 0.000 0.000 0.000 1
Te1 Te 0.500 0.500 0.500 1
Au1 Au 0.000 0.500 0.500 1
Au2 Au 0.500 0.000 0.500 1
Au3 Au 0.500 0.500 0.000 1

Stability summary: most stable B, least stable A.

A | # Cd2Te2Au, optimized geometry, DFT PBE
# Space-group type ... I4/mmm (139)
# Total magnetization ... 0.000 μB/atom
data_Cd2Te2Au
_cell_length_a 8.227
_cell_length_b 8.227
_cell_length_c 8.227
_cell_angle_alpha 149.45
_cell_angle_beta 149.45
_cell_angle_gamma 43.75
_space_group_name_H-M_alt 'P 1'
_space_group_IT_number 1
_space_group_name_Hall 'P 1'
loop_
_atom_site_label
_atom_site_type_symbol
_atom_site_fract_x
_atom_site_fract_y
_atom_site_fract_z
_atom_site_occupancy
Cd1 Cd 0.089 0.089 0.000 1
Cd2 Cd 0.911 0.911 0.000 1
Te1 Te 0.250 0.750 0.500 1
Te2 Te 0.750 0.250 0.500 1
Au1 Au 0.500 0.500 0.000 1

B | # Cd2Te2Au, optimized geometry, DFT PBE
# Space-group type ... P4/mbm (127)
# Total magnetization ... 0.000 μB/atom
data_Cd2Te2Au
_cell_length_a 7.853
_cell_length_b 7.853
_cell_length_c 4.171
_cell_angle_alpha 90.00
_cell_angle_beta 90.00
_cell_angle_gamma 90.00
_space_group_name_H-M_alt 'P 1'
_space_group_IT_number 1
_space_group_name_Hall 'P 1'
loop_
_atom_site_label
_atom_site_type_symbol
_atom_site_fract_x
_atom_site_fract_y
_atom_site_fract_z
_atom_site_occupancy
Cd1 Cd 0.139 0.361 0.000 1
Cd2 Cd 0.361 0.861 0.000 1
Cd3 Cd 0.639 0.139 0.000 1
Cd4 Cd 0.861 0.639 0.000 1
Te1 Te 0.172 0.672 0.500 1
Te2 Te 0.328 0.172 0.500 1
Te3 Te 0.672 0.828 0.500 1
Te4 Te 0.828 0.328 0.500 1
Au1 Au 0.000 0.000 0.000 1
Au2 Au 0.500 0.500 0.000 1

C | # Cd2Te2Au, optimized geometry, DFT PBE
# Space-group type ... P4/mbm (127)
# Total magnetization ... 0.000 μB/atom
data_Cd2Te2Au
_cell_length_a 8.098
_cell_length_b 8.098
_cell_length_c 4.425
_cell_angle_alpha 90.00
_cell_angle_beta 90.00
_cell_angle_gamma 90.00
_space_group_name_H-M_alt 'P 1'
_space_group_IT_number 1
_space_group_name_Hall 'P 1'
loop_
_atom_site_label
_atom_site_type_symbol
_atom_site_fract_x
_atom_site_fract_y
_atom_site_fract_z
_atom_site_occupancy
Cd1 Cd 0.121 0.379 0.000 1
Cd2 Cd 0.379 0.879 0.000 1
Cd3 Cd 0.621 0.121 0.000 1
Cd4 Cd 0.879 0.621 0.000 1
Te1 Te 0.217 0.717 0.500 1
Te2 Te 0.283 0.217 0.500 1
Te3 Te 0.717 0.783 0.500 1
Te4 Te 0.783 0.283 0.500 1
Au1 Au 0.000 0.000 0.500 1
Au2 Au 0.500 0.500 0.500 1

Stability summary: most stable C, least stable A.